# 1
Material: GdMgTl
Method: DFT, PBE
State: relaxed

Properties
Calculated total energy: -3.047 eV/atom
V: 87.2 Å³/cell

Cell: 4.9775 4.9775 4.9775 Å, 60.00 60.00 60.00°
With the nearest neighbours (Å) after each atom.
Fractional positions:
Gd: 0.2500 0.2500 0.2500  4 Tl 3.05
Mg: 0.7500 0.7500 0.7500  4 Tl 3.05
Tl: 0.0000 0.0000 0.0000  4 Mg 3.05, 4 Gd 3.05

=====

# 2
Material: Gd2TmMg4Tl2
Method: DFT, PBE
State: relaxed

Properties
Calculated total energy: -2.982 eV/atom
V: 231.8 Å³/cell

Cell: 4.6492 7.5680 7.5680 Å, 119.47 90.00 90.00°
With the nearest neighbours (Å) after each atom.
Fractional positions:
Gd: 0.0000 0.4352 0.0017  4 Tl 3.25, 3 Mg 3.31-3.37
Gd: 0.0000 0.0017 0.4352  4 Tl 3.25, 3 Mg 3.31-3.37
Mg: 0.5000 0.7574 0.0003  2 Tl 2.93-2.95, 4 Mg 2.95-3.19
Mg: 0.5000 0.2413 0.2413  2 Tl 2.93, 4 Mg 2.99-3.19
Mg: 0.5000 0.0003 0.7574  2 Tl 2.93-2.95, 4 Mg 2.95-3.19
Mg: 0.0000 0.9954 0.9954  6 Mg 2.95-2.99, 1 Tm 3.28, 2 Gd 3.31
Tl: 0.5000 0.6667 0.3370  3 Mg 2.93-2.95, 2 Tm 3.21, 4 Gd 3.25
Tl: 0.5000 0.3370 0.6667  3 Mg 2.93-2.95, 2 Tm 3.21, 4 Gd 3.25
Tm: 0.0000 0.5649 0.5649  4 Tl 3.21, 3 Mg 3.28-3.39

=====

Which of these has the highest V? Gd2TmMg4Tl2